# Fe4Se (PBE-GGA, optimized geometry)
data_Fe4Se
_chemical_formula_sum 'Fe4 Se1'
_cell_length_a 4.3378
_cell_length_b 4.3378
_cell_length_c 4.3378
_cell_angle_alpha 99.71
_cell_angle_beta 99.71
_cell_angle_gamma 131.50
_symmetry_space_group_name_H-M 'P 1'
_symmetry_Int_Tables_number 1
_symmetry_space_group_name_Hall 'P 1'
loop_
_atom_site_label
_atom_site_type_symbol
_atom_site_fract_x
_atom_site_fract_y
_atom_site_fract_z
Fe1 Fe 0.1022 0.6837 0.7859
Fe2 Fe 0.3163 0.1022 0.4185
Fe3 Fe 0.6837 0.8978 0.5815
Fe4 Fe 0.8978 0.3163 0.2141
Se1 Se 0.5000 0.5000 0.0000
# - Formation energy (no corrections): 159 kJ/mol of formula units
# - SG: I4/m (87)
# - M_tot: 0.0 μB/f.u.
# - Calculated density: 9.01 g cm⁻³
# - D(E_F): 6.373 states/eV/f.u.

# FeSe4 (PBE-GGA, optimized geometry)
data_FeSe4
_chemical_formula_sum 'Fe1 Se4'
_cell_length_a 5.1919
_cell_length_b 5.1919
_cell_length_c 5.1919
_cell_angle_alpha 109.47
_cell_angle_beta 109.47
_cell_angle_gamma 109.47
_symmetry_space_group_name_H-M 'P 1'
_symmetry_Int_Tables_number 1
_symmetry_space_group_name_Hall 'P 1'
loop_
_atom_site_label
_atom_site_type_symbol
_atom_site_fract_x
_atom_site_fract_y
_atom_site_fract_z
Fe1 Fe 0.0000 0.0000 0.0000
Se1 Se 0.0000 0.0000 0.5000
Se2 Se 0.0000 0.5000 0.0000
Se3 Se 0.5000 0.0000 0.0000
Se4 Se 0.5000 0.5000 0.5000
# - Formation energy (no corrections): 160 kJ/mol of formula units
# - SG: Im-3m (229)
# - M_tot: 2.8 μB/f.u.
# - Relative energy among the computed polymorphs: 0.0 meV per atom
# - Calculated density: 5.73 g cm⁻³
# - D(E_F): 6.497 states/eV/f.u.

# FeSe2 (PBE-GGA, optimized geometry)
data_FeSe2
_chemical_formula_sum 'Fe2 Se4'
_cell_length_a 4.8046
_cell_length_b 5.7779
_cell_length_c 3.5991
_cell_angle_alpha 90.00
_cell_angle_beta 90.00
_cell_angle_gamma 90.00
_symmetry_space_group_name_H-M 'P 1'
_symmetry_Int_Tables_number 1
_symmetry_space_group_name_Hall 'P 1'
loop_
_atom_site_label
_atom_site_type_symbol
_atom_site_fract_x
_atom_site_fract_y
_atom_site_fract_z
Fe1 Fe 0.0000 0.0000 0.0000
Fe2 Fe 0.5000 0.5000 0.5000
Se1 Se 0.2183 0.3672 0.0000
Se2 Se 0.2817 0.8672 0.5000
Se3 Se 0.7183 0.1328 0.5000
Se4 Se 0.7817 0.6328 0.0000
# - Formation energy (no corrections): -101 kJ/mol of formula units
# - SG: Pnnm (58)
# - M_tot: 0.0 μB/f.u.
# - Calculated density: 7.11 g cm⁻³